1.
This record from Alexandria describes a geometry-optimized Ag2RuAu structure. The functional is PBE.

Properties
Calculated total energy ... -4.047 eV/atom
Formation energy from the elements ... 517.2 meV per atom

a = 4.5978 Å, b = 4.5978 Å, c = 4.5978 Å
α = 60.00°, β = 60.00°, γ = 60.00°
Atoms (fractional coordinates):
Ag 0.2500 0.2500 0.2500
Ag 0.7500 0.7500 0.7500
Ru 0.0000 0.0000 0.0000
Au 0.5000 0.5000 0.5000

---

2.
This record from Alexandria describes a geometry-optimized CsEuBr2 structure. The functional is PBE.

Properties
Uncorrected formation energy ... -1.409 eV/atom
Calculated total energy ... -5.028 eV/atom

a = 3.9759 Å, b = 3.9759 Å, c = 8.6608 Å
α = 90.00°, β = 90.00°, γ = 90.00°
Atoms (fractional coordinates):
Cs 0.0000 0.0000 0.0000
Eu 0.0000 0.0000 0.5000
Br 0.5000 0.5000 0.2869
Br 0.5000 0.5000 0.7131

---

3.
This record from Alexandria describes a geometry-optimized SiAgSe2 structure. The functional is PBE.

Properties
Uncorrected formation energy ... 0.478 eV/atom
Calculated total energy ... -3.333 eV/atom

a = 2.9176 Å, b = 5.1280 Å, c = 5.1709 Å
α = 90.00°, β = 90.00°, γ = 90.00°
Atoms (fractional coordinates):
Si 0.0000 0.0000 0.0000
Ag 0.5000 0.0000 0.5000
Se 0.0000 0.5000 0.5000
Se 0.5000 0.5000 0.0000

---

4.
This record from Alexandria describes a geometry-optimized BaTlRe2Ag structure. The functional is PBE.

Properties
Calculated total energy ... -4.419 eV/atom
Formation energy from the elements ... 1987.9 meV per atom

a = 5.1339 Å, b = 5.1339 Å, c = 5.8126 Å
α = 90.00°, β = 90.00°, γ = 90.00°
Atoms (fractional coordinates):
Ba 0.0000 0.0000 0.0000
Tl 0.5000 0.5000 0.0000
Re 0.0000 0.5000 0.5000
Re 0.5000 0.0000 0.5000
Ag 0.0000 0.0000 0.5000

---

5.
This record from Alexandria describes a geometry-optimized Cs4AuF2 structure. The functional is PBE.

Properties
Uncorrected formation energy ... -1.356 eV/atom
Calculated total energy ... -2.847 eV/atom

a = 9.5210 Å, b = 9.5210 Å, c = 9.5210 Å
α = 138.81°, β = 138.81°, γ = 59.67°
Atoms (fractional coordinates):
Cs 0.0000 0.5000 0.5000
Cs 0.2424 0.2424 0.0000
Cs 0.5000 0.0000 0.5000
Cs 0.7576 0.7576 0.0000
Au 0.0000 0.0000 0.0000
F 0.3974 0.3974 0.0000
F 0.6026 0.6026 0.0000

---

6.
This record from Alexandria describes a geometry-optimized Ac4Te3 structure. The functional is PBE.

Properties
Uncorrected formation energy ... -1.138 eV/atom
Calculated total energy ... -4.832 eV/atom

a = 6.6226 Å, b = 6.6226 Å, c = 6.6226 Å
α = 90.00°, β = 90.00°, γ = 90.00°
Atoms (fractional coordinates):
Ac 0.0000 0.0000 0.0000
Ac 0.0000 0.5000 0.5000
Ac 0.5000 0.0000 0.5000
Ac 0.5000 0.5000 0.0000
Te 0.0000 0.0000 0.5000
Te 0.0000 0.5000 0.0000
Te 0.5000 0.0000 0.0000

---

7.
This record from Alexandria describes a geometry-optimized Er4GePd3 structure. The functional is PBE.

Properties
Calculated total energy ... -5.719 eV/atom
Formation energy from the elements ... -913.1 meV per atom

a = 3.8107 Å, b = 4.3639 Å, c = 10.6504 Å
α = 90.00°, β = 90.00°, γ = 90.00°
Atoms (fractional coordinates):
Er 0.0000 0.0000 0.0000
Er 0.0000 0.5000 0.2776
Er 0.5000 0.0000 0.4973
Er 0.5000 0.5000 0.7770
Ge 0.0000 0.0000 0.7217
Pd 0.0000 0.5000 0.5562
Pd 0.5000 0.0000 0.2244
Pd 0.5000 0.5000 0.0519

---

8.
This record from Alexandria describes a geometry-optimized CaCu3P4O14 structure. The functional is PBE.

Properties
Uncorrected formation energy ... -1.847 eV/atom
Calculated total energy ... -6.635 eV/atom

a = 7.3325 Å, b = 7.8743 Å, c = 9.4802 Å
α = 90.00°, β = 110.08°, γ = 90.00°
Atoms (fractional coordinates):
Ca 0.0000 0.0000 0.0000
Ca 0.0000 0.5000 0.5000
Cu 0.3105 0.1310 0.4800
Cu 0.3105 0.3690 0.9800
Cu 0.5000 0.0000 0.0000
Cu 0.5000 0.5000 0.5000
Cu 0.6895 0.6310 0.0200
Cu 0.6895 0.8690 0.5200
P 0.0955 0.0457 0.6995
P 0.0955 0.4543 0.1995
P 0.3963 0.7123 0.1962
P 0.3963 0.7877 0.6962
P 0.6037 0.2123 0.3038
P 0.6037 0.2877 0.8038
P 0.9045 0.5457 0.8005
P 0.9045 0.9543 0.3005
O 0.1155 0.5043 0.8194
O 0.1155 0.9957 0.3194
O 0.1272 0.1776 0.5908
O 0.1272 0.3224 0.0908
O 0.1842 0.6332 0.1694
O 0.1842 0.8668 0.6694
O 0.2007 0.0926 0.8654
O 0.2007 0.4074 0.3654
O 0.3475 0.6148 0.6169
O 0.3475 0.8852 0.1169
O 0.4902 0.7178 0.3699
O 0.4902 0.7822 0.8699
O 0.4992 0.5928 0.1218
O 0.4992 0.9072 0.6218
O 0.5008 0.0928 0.3782
O 0.5008 0.4072 0.8782
O 0.5098 0.2178 0.1301
O 0.5098 0.2822 0.6301
O 0.6525 0.1148 0.8831
O 0.6525 0.3852 0.3831
O 0.7993 0.5926 0.6346
O 0.7993 0.9074 0.1346
O 0.8158 0.1332 0.3306
O 0.8158 0.3668 0.8306
O 0.8728 0.6776 0.9092
O 0.8728 0.8224 0.4092
O 0.8845 0.0043 0.6806
O 0.8845 0.4957 0.1806

---

9.
This record from Alexandria describes a geometry-optimized InAgRu4 structure. The functional is PBE.

Properties
Calculated total energy ... -6.603 eV/atom
Formation energy from the elements ... 512.1 meV per atom

a = 5.1910 Å, b = 5.1910 Å, c = 5.1910 Å
α = 60.00°, β = 60.00°, γ = 60.00°
Atoms (fractional coordinates):
In 0.0000 0.0000 0.0000
Ag 0.2500 0.2500 0.2500
Ru 0.1255 0.6248 0.6248
Ru 0.6248 0.1255 0.6248
Ru 0.6248 0.6248 0.1255
Ru 0.6248 0.6248 0.6248

---

10.
This record from Alexandria describes a geometry-optimized TlSiSe2 structure. The functional is PBE.

Properties
Uncorrected formation energy ... 0.008 eV/atom
Calculated total energy ... -3.681 eV/atom

a = 4.0643 Å, b = 4.0643 Å, c = 8.9914 Å
α = 90.00°, β = 90.00°, γ = 130.61°
Atoms (fractional coordinates):
Tl 0.0000 0.0000 0.0000
Si 0.0000 0.0000 0.5000
Se 0.5000 0.5000 0.3115
Se 0.5000 0.5000 0.6885

---

11.
This record from Alexandria describes a geometry-optimized KTl2Au structure. The functional is PBE.

Properties
Calculated total energy ... -2.393 eV/atom
Formation energy from the elements ... -115.8 meV per atom

a = 7.7129 Å, b = 7.7129 Å, c = 7.7129 Å
α = 35.00°, β = 35.00°, γ = 35.00°
Atoms (fractional coordinates):
K 0.0000 0.0000 0.0000
Tl 0.2242 0.2242 0.2242
Tl 0.7758 0.7758 0.7758
Au 0.5000 0.5000 0.5000

---

12.
This record from Alexandria describes a geometry-optimized YPbSe2 structure. The functional is PBE.

Properties
Uncorrected formation energy ... -0.521 eV/atom
Calculated total energy ... -4.806 eV/atom

a = 9.0516 Å, b = 9.0516 Å, c = 9.0516 Å
α = 28.10°, β = 28.10°, γ = 28.10°
Atoms (fractional coordinates):
Y 0.0000 0.0000 0.0000
Pb 0.5000 0.5000 0.5000
Se 0.1016 0.1016 0.1016
Se 0.8984 0.8984 0.8984

---

13.
This record from Alexandria describes a geometry-optimized HoSi2Ru structure. The functional is PBE.

Properties
Uncorrected formation energy ... -0.320 eV/atom
Calculated total energy ... -6.495 eV/atom

a = 4.4478 Å, b = 4.4478 Å, c = 4.4478 Å
α = 63.05°, β = 63.05°, γ = 63.05°
Atoms (fractional coordinates):
Ho 0.0000 0.0000 0.0000
Si 0.2594 0.2594 0.2594
Si 0.7406 0.7406 0.7406
Ru 0.5000 0.5000 0.5000